No. 1
An optimized crystal structure of Cs3Pm3TaSe8, computed with PBE.

```
Cs3Pm3TaSe8
1.0
7.272 -4.197 0.000
7.272 4.197 0.000
-4.855 0.000 8.594
Cs Pm Ta Se
3 3 1 8
Cartesian
0.000 0.000 0.000 Cs
3.636 2.099 0.000 Cs
3.636 -2.099 0.000 Cs
1.208 2.099 4.297 Pm
1.208 -2.099 4.297 Pm
4.844 0.000 4.297 Pm
-2.427 0.000 4.297 Ta
-0.226 0.000 5.828 Se
3.744 2.291 5.827 Se
5.945 2.291 2.767 Se
2.420 0.000 2.643 Se
7.269 0.000 5.951 Se
3.744 -2.291 5.827 Se
5.945 -2.291 2.767 Se
9.915 0.000 2.766 Se
```

Output
**DOS(E_F)**: 4.52 states/eV per cell
**Size of the total moment**: 1.0 μB/f.u.
**Energy**: -5.250 eV/atom
**Formation energy from raw total energies**: -1480 meV/atom

No. 2
An optimized crystal structure of Nd2DySe, computed with PBE.

```
Nd2DySe
1.0
3.882 0.000 0.000
-1.941 3.362 0.000
0.000 0.000 29.322
Nd Dy Se
6 3 3
Cartesian
0.000 0.000 6.844 Nd
0.000 0.000 22.479 Nd
0.000 2.241 12.705 Nd
0.000 2.241 26.392 Nd
1.941 1.121 2.930 Nd
1.941 1.121 16.618 Nd
0.000 0.000 0.000 Dy
0.000 2.241 19.548 Dy
1.941 1.121 9.774 Dy
0.000 0.000 14.661 Se
0.000 2.241 4.887 Se
1.941 1.121 24.435 Se
```

Output
**DOS(E_F)**: 14.73 states/eV per cell
**Size of the total moment**: 0.0 μB/f.u.
**Energy**: -5.167 eV/atom
**Formation energy from raw total energies**: -762 meV/atom

No. 3
An optimized crystal structure of TeHRh, computed with PBE.

```
TeHRh
1.0
8.756 0.000 0.000
0.000 3.260 0.000
-1.559 0.000 3.368
Te H Rh
2 2 2
Cartesian
0.000 0.000 0.000 Te
4.378 1.630 0.000 Te
0.990 0.000 2.481 H
5.368 1.630 2.481 H
0.372 1.630 2.220 Rh
4.751 0.000 2.220 Rh
```

Output
**DOS(E_F)**: 1.88 states/eV per cell
**Size of the total moment**: 0.0 μB/f.u.
**Energy**: -4.610 eV/atom

No. 4
An optimized crystal structure of LaHgPt2, computed with PBE.

```
LaHgPt2
1.0
4.739 0.000 0.000
0.000 4.739 0.000
0.000 0.000 3.807
La Hg Pt
1 1 2
Cartesian
0.000 0.000 0.000 La
2.369 2.369 0.000 Hg
0.000 2.369 1.903 Pt
2.369 0.000 1.903 Pt
```

Output
**DOS(E_F)**: 2.04 states/eV per cell
**Size of the total moment**: 0.0 μB/f.u.
**Energy**: -4.929 eV/atom
**E_form**: -0.6011 eV per atom

No. 5
An optimized crystal structure of HfZn2TcS, computed with PBE.

```
HfZn2TcS
1.0
5.190 0.000 0.000
0.000 5.190 0.000
0.000 0.000 4.803
Hf Zn Tc S
1 2 1 1
Cartesian
0.000 0.000 0.000 Hf
0.000 2.595 0.000 Zn
2.595 0.000 0.000 Zn
0.000 0.000 2.402 Tc
2.595 2.595 2.402 S
```

Output
**DOS(E_F)**: 2.78 states/eV per cell
**Size of the total moment**: 2.0 μB/f.u.
**Energy**: -4.043 eV/atom
**Formation energy from raw total energies**: 1356 meV/atom

No. 6
An optimized crystal structure of La2Al5Zn12, computed with PBE.

```
La2Al5Zn12
1.0
4.606 2.660 4.486
-4.606 2.660 4.486
0.000 -5.319 4.486
La Al Zn
2 5 12
Cartesian
0.000 0.000 2.249 La
0.000 0.000 11.210 La
-2.303 -1.330 4.486 Al
0.000 0.000 5.408 Al
-2.303 1.330 8.973 Al
0.000 2.660 4.486 Al
0.000 0.000 8.051 Al
0.000 -2.734 4.306 Zn
-2.368 1.367 4.306 Zn
-1.363 -2.360 6.730 Zn
-2.725 0.000 6.730 Zn
-2.368 -1.367 9.153 Zn
1.363 -2.360 6.730 Zn
-1.363 2.360 6.730 Zn
2.368 1.367 4.306 Zn
2.725 0.000 6.730 Zn
1.363 2.360 6.730 Zn
2.368 -1.367 9.153 Zn
0.000 2.734 9.153 Zn
```

Output
**DOS(E_F)**: 5.52 states/eV per cell
**Size of the total moment**: 0.0 μB/f.u.
**Energy**: -2.544 eV/atom
**E_form**: -0.2356 eV per atom

No. 7
An optimized crystal structure of Tb7Er12Tl, computed with PBE.

```
Tb7Er12Tl
1.0
5.917 3.416 5.223
-5.917 3.416 5.223
0.000 -6.832 5.223
Tb Er Tl
7 12 1
Cartesian
0.000 0.000 0.000 Tb
-1.462 -1.322 4.600 Tb
-0.414 1.927 4.600 Tb
1.876 -0.605 4.600 Tb
-1.876 0.605 11.068 Tb
0.414 -1.927 11.068 Tb
1.462 1.322 11.068 Tb
-3.777 1.417 3.941 Er
0.661 -3.980 3.941 Er
-2.994 0.910 7.066 Er
-2.285 -2.138 8.602 Er
-3.116 -2.562 11.727 Er
0.709 -3.047 7.066 Er
-0.709 3.047 8.602 Er
3.116 2.562 3.941 Er
2.285 2.138 7.066 Er
2.994 -0.910 8.602 Er
-0.661 3.980 11.727 Er
3.777 -1.417 11.727 Er
0.000 0.000 7.834 Tl
```

Output
**DOS(E_F)**: 30.39 states/eV per cell
**Size of the total moment**: 0.0 μB/f.u.
**Energy**: -4.298 eV/atom
**E_form**: 0.1784 eV per atom

No. 8
An optimized crystal structure of TbPm12Co4, computed with PBE.

```
TbPm12Co4
1.0
-5.088 5.088 5.088
5.088 -5.088 5.088
5.088 5.088 -5.088
Tb Pm Co
1 12 4
Cartesian
0.000 0.000 0.000 Tb
5.088 3.260 -1.909 Pm
3.179 0.000 1.828 Pm
6.997 0.000 1.828 Pm
1.828 3.179 0.000 Pm
3.260 -1.909 5.088 Pm
0.000 1.828 3.179 Pm
5.088 3.260 1.909 Pm
1.828 6.997 0.000 Pm
3.260 1.909 5.088 Pm
-1.909 5.088 3.260 Pm
1.909 5.088 3.260 Pm
0.000 1.828 6.997 Pm
2.544 2.544 -2.544 Co
2.544 -2.544 2.544 Co
-2.544 2.544 2.544 Co
2.544 2.544 2.544 Co
```

Output
**DOS(E_F)**: 22.42 states/eV per cell
**Size of the total moment**: 0.0 μB/f.u.
**Energy**: -5.236 eV/atom
**E_form**: 0.0622 eV per atom

No. 9
An optimized crystal structure of NiSn2I, computed with PBE.

```
NiSn2I
1.0
4.179 0.000 0.000
-2.090 3.619 0.000
0.000 0.000 23.883
Ni Sn I
3 6 3
Cartesian
0.000 0.000 0.000 Ni
0.000 2.413 15.922 Ni
2.090 1.206 7.961 Ni
0.000 0.000 8.981 Sn
0.000 0.000 14.902 Sn
0.000 2.413 1.020 Sn
0.000 2.413 6.941 Sn
2.090 1.206 16.943 Sn
2.090 1.206 22.863 Sn
0.000 0.000 11.942 I
0.000 2.413 3.981 I
2.090 1.206 19.903 I
```

Output
**DOS(E_F)**: 6.15 states/eV per cell
**Size of the total moment**: 0.0 μB/f.u.
**Energy**: -3.919 eV/atom
**Formation energy from raw total energies**: -85 meV/atom

No. 10
An optimized crystal structure of NaZnIn2Pt, computed with PBE.

```
NaZnIn2Pt
1.0
5.181 0.000 0.000
0.000 5.181 0.000
0.000 0.000 4.985
Na Zn In Pt
1 1 2 1
Cartesian
0.000 0.000 0.000 Na
2.591 2.591 0.000 Zn
0.000 2.591 2.493 In
2.591 0.000 2.493 In
2.591 2.591 2.493 Pt
```

Output
**DOS(E_F)**: 2.26 states/eV per cell
**Size of the total moment**: 0.0 μB/f.u.
**Energy**: -3.013 eV/atom
**E_form**: -0.1910 eV per atom

No. 11
An optimized crystal structure of TmSF, computed with PBE.

```
TmSF
1.0
3.828 0.000 0.000
0.000 3.828 0.000
0.000 0.000 4.287
Tm S F
1 1 1
Cartesian
0.000 0.000 0.000 Tm
1.914 1.914 0.000 S
0.000 0.000 2.144 F
```

Output
**Size of the total moment**: 0.0 μB/f.u.
**Energy**: -6.437 eV/atom
**Formation energy from raw total energies**: -2947 meV/atom

No. 12
An optimized crystal structure of MgCuAu2, computed with PBE.

```
MgCuAu2
1.0
7.247 0.000 0.000
0.000 7.247 0.000
0.000 0.000 5.519
Mg Cu Au
4 4 8
Cartesian
0.000 0.000 0.000 Mg
0.000 3.624 1.380 Mg
3.624 0.000 4.140 Mg
3.624 3.624 2.760 Mg
0.000 0.000 2.760 Cu
0.000 3.624 4.140 Cu
3.624 0.000 1.380 Cu
3.624 3.624 0.000 Cu
1.686 1.812 3.450 Au
1.812 5.310 4.830 Au
1.812 5.561 2.070 Au
1.937 1.812 0.690 Au
5.310 5.436 0.690 Au
5.436 1.686 2.070 Au
5.436 1.937 4.830 Au
5.561 5.436 3.450 Au
```

Output
**DOS(E_F)**: 5.82 states/eV per cell
**Size of the total moment**: 0.0 μB/f.u.
**Energy**: -3.176 eV/atom
**E_form**: -0.1145 eV per atom